# 1
# KNaTiSe3

A relaxed KNaTiSe3 crystal (PBE-GGA, the Alexandria database).

Properties
**Space group**: C2/c
**Raw formation energy**: -1185 meV/atom

Cell lengths 7.9587, 7.9587, 6.8579 Å; angles 95.57, 95.57, 125.41 degrees
Positions (direct):
K  0.2459  0.7541  0.7500
K  0.7541  0.2459  0.2500
Na  0.4208  0.5792  0.2500
Na  0.5792  0.4208  0.7500
Ti  0.0519  0.9481  0.2500
Ti  0.9481  0.0519  0.7500
Se  0.1834  0.2659  0.4995
Se  0.2192  0.7808  0.2500
Se  0.2659  0.1834  0.9995
Se  0.7341  0.8166  0.0005
Se  0.7808  0.2192  0.7500
Se  0.8166  0.7341  0.5005



# 2
# Ta6Nb3W

A relaxed Ta6Nb3W crystal (PBE-GGA, the Alexandria database).

Properties
**Formation enthalpy at 0 K**: 1.62 eV/atom
**Space group**: Fm-3m

Cell lengths 6.8255, 6.8255, 6.8255 Å; angles 60.00, 60.00, 60.00 degrees
Positions (direct):
Ta  0.2504  0.2504  0.7496
Ta  0.2504  0.7496  0.2504
Ta  0.2504  0.7496  0.7496
Ta  0.7496  0.2504  0.2504
Ta  0.7496  0.2504  0.7496
Ta  0.7496  0.7496  0.2504
Nb  0.0000  0.0000  0.0000
Nb  0.2500  0.2500  0.2500
Nb  0.7500  0.7500  0.7500
W  0.5000  0.5000  0.5000



# 3
# B2PdI

A relaxed B2PdI crystal (PBE-GGA, the Alexandria database).

Properties
**Space group**: I-42d
**Raw formation energy**: 997 meV/atom

Cell lengths 6.4872, 6.4872, 6.4872 Å; angles 131.85, 131.85, 70.46 degrees
Positions (direct):
B  0.0374  0.6250  0.9124
B  0.3750  0.2874  0.4124
B  0.7126  0.1250  0.0876
B  0.8750  0.9626  0.5876
Pd  0.0000  0.0000  0.0000
Pd  0.7500  0.2500  0.5000
I  0.2500  0.7500  0.5000
I  0.5000  0.5000  0.0000



# 4
# ZrV2Cd

A relaxed ZrV2Cd crystal (PBE-GGA, the Alexandria database).

Properties
**Formation enthalpy at 0 K**: 0.70 eV/atom
**Space group**: I-42d

Cell lengths 10.0974, 10.0974, 10.0974 Å; angles 157.43, 157.43, 32.13 degrees
Positions (direct):
Zr  0.0000  0.0000  0.0000
Zr  0.7500  0.2500  0.5000
V  0.1075  0.6250  0.9825
V  0.3750  0.3575  0.4825
V  0.6425  0.1250  0.0175
V  0.8750  0.8925  0.5175
Cd  0.2500  0.7500  0.5000
Cd  0.5000  0.5000  0.0000



# 5
# Li2ZnNi

A relaxed Li2ZnNi crystal (PBE-GGA, the Alexandria database).

Properties
**Formation enthalpy at 0 K**: -0.02 eV/atom
**Space group**: P4/mmm

Cell lengths 2.5939, 2.5939, 7.8709 Å; angles 90.00, 90.00, 90.00 degrees
Positions (direct):
Li  0.0000  0.0000  0.2283
Li  0.0000  0.0000  0.7717
Zn  0.5000  0.5000  0.5000
Ni  0.5000  0.5000  0.0000



# 6
# Nd2Y5Er4

A relaxed Nd2Y5Er4 crystal (PBE-GGA, the Alexandria database).

Properties
**Formation enthalpy at 0 K**: 0.15 eV/atom
**Space group**: C2/m

Cell lengths 12.0566, 12.0566, 8.7437 Å; angles 96.21, 96.21, 16.54 degrees
Positions (direct):
Nd  0.0923  0.0923  0.2414
Nd  0.9077  0.9077  0.7586
Y  0.1404  0.1404  0.6229
Y  0.2331  0.2331  0.3227
Y  0.5000  0.5000  0.5000
Y  0.7669  0.7669  0.6773
Y  0.8596  0.8596  0.3771
Er  0.0455  0.0455  0.8624
Er  0.3232  0.3232  0.0269
Er  0.6768  0.6768  0.9731
Er  0.9545  0.9545  0.1376



# 7
# LaZr2P

A relaxed LaZr2P crystal (PBE-GGA, the Alexandria database).

Properties
**Formation enthalpy at 0 K**: -0.21 eV/atom
**Space group**: C2/m

Cell lengths 5.9421, 5.9421, 3.7330 Å; angles 108.32, 108.32, 117.80 degrees
Positions (direct):
La  0.0000  0.0000  0.0000
Zr  0.0000  0.5000  0.5000
Zr  0.5000  0.0000  0.5000
P  0.5000  0.5000  0.0000



no.,M_tot (Bohr magnetons per cell)
1,0.00
2,0.00
3,0.00
4,0.00
5,0.00
6,0.00
7,0.00